(1)
{"formula": "Sr6Pt2I3Cl", "functional": "PBE", "state": "relaxed", "magnetic_moment_mub_per_cell": 0.0, "formation_energy_uncorrected_ev_per_atom": -1.253, "spacegroup": "C2/m", "cell": [[-3.0234, 3.1297, -6.4922], [7.0806, -3.3047, -0.1693], [-4.7715, -7.1619, 0.3366]], "species": ["I", "Pt", "Cl", "Pt", "Sr", "Sr", "I", "Sr", "Sr", "Sr", "I", "Sr"], "frac_coords": [[0.8407, 0.1593, 0.5000], [0.6672, 0.3328, 0.0000], [0.0000, 0.0000, 0.0000], [0.3328, 0.6672, 0.0000], [0.0655, 0.4188, 0.1994], [0.9345, 0.5812, 0.8006], [0.1593, 0.8407, 0.5000], [0.4188, 0.0655, 0.1994], [0.5812, 0.9345, 0.8006], [0.2869, 0.2869, 0.8030], [0.5000, 0.5000, 0.5000], [0.7131, 0.7131, 0.1970]]}


(2)
{"formula": "TePtI2Cl", "functional": "PBE", "state": "relaxed", "magnetic_moment_mub_per_cell": 1.5, "formation_energy_uncorrected_ev_per_atom": 1.232, "spacegroup": "P4/mmm", "cell": [[5.5090, 0.0000, 0.0000], [0.0000, 5.5090, 0.0000], [0.0000, 0.0000, 5.5133]], "species": ["Pt", "I", "Cl", "I", "Te"], "frac_coords": [[0.5000, 0.5000, 0.5000], [0.0000, 0.5000, 0.0000], [0.0000, 0.0000, 0.0000], [0.5000, 0.0000, 0.0000], [0.0000, 0.0000, 0.5000]]}


(3)
{"formula": "TePtI2Cl", "functional": "PBE", "state": "relaxed", "magnetic_moment_mub_per_cell": 0.0, "formation_energy_uncorrected_ev_per_atom": 0.265, "spacegroup": "P4/mmm", "cell": [[5.5443, 0.0000, 0.0000], [0.0000, 5.5443, 0.0000], [0.0000, 0.0000, 5.2041]], "species": ["Te", "I", "Cl", "I", "Pt"], "frac_coords": [[0.0000, 0.0000, 0.5000], [0.0000, 0.5000, 0.0000], [0.5000, 0.5000, 0.5000], [0.5000, 0.0000, 0.0000], [0.0000, 0.0000, 0.0000]]}


(4)
{"formula": "TePtI2Cl", "functional": "PBE", "state": "relaxed", "magnetic_moment_mub_per_cell": 0.7, "formation_energy_uncorrected_ev_per_atom": 0.499, "spacegroup": "P4/mmm", "cell": [[6.0532, 0.0000, 0.0000], [0.0000, 4.9637, 0.0000], [0.0000, 0.0000, 6.0532]], "species": ["Pt", "I", "I", "Cl", "Te"], "frac_coords": [[0.0000, 0.5000, 0.0000], [0.5000, 0.0000, 0.0000], [0.0000, 0.0000, 0.5000], [0.5000, 0.5000, 0.5000], [0.0000, 0.0000, 0.0000]]}